VFeCu (PBE, optimized geometry); crystal system = tetragonal; VASP energy = -7.142 eV/atom; formation enthalpy at 0 K = 0.08 eV/atom; total magnetic moment = 0.75 μB per atom; polymorph energy (0 for the lowest one) = 98 meV/atom
1.0
2.499 0.000 0.000
0.000 2.499 0.000
-1.250 -1.250 5.880
Cu V Fe
1 1 1
Direct
0.953 0.953 0.907
0.282 0.282 0.565
0.614 0.614 0.229